No. 1
The following is a PBE-GGA calculation of Nd4DyCu4 after structural relaxation, from Alexandria via LeMat-Bulk.

Size of the total moment   0.000 μB per atom
ΔE_f   -0.012 eV per atom

Unit cell a=8.503 b=8.503 c=6.444 alpha=90.00 beta=90.00 gamma=90.00
Element x y z (fractional)
Nd  0.043  0.661  0.151
Nd  0.161  0.957  0.651
Nd  0.339  0.543  0.651
Nd  0.457  0.839  0.151
Nd  0.543  0.161  0.849
Nd  0.661  0.457  0.349
Nd  0.839  0.043  0.349
Nd  0.957  0.339  0.849
Dy  0.250  0.250  0.250
Dy  0.750  0.750  0.750
Cu  0.017  0.628  0.598
Cu  0.128  0.983  0.098
Cu  0.372  0.517  0.098
Cu  0.483  0.872  0.598
Cu  0.517  0.128  0.402
Cu  0.628  0.483  0.902
Cu  0.872  0.017  0.902
Cu  0.983  0.372  0.402



No. 2
The following is a PBE-GGA calculation of Nd2DyCu3 after structural relaxation, from Alexandria via LeMat-Bulk.

Size of the total moment   0.000 μB per atom
ΔE_f   -0.180 eV per atom

Unit cell a=3.535 b=3.535 c=10.731 alpha=90.00 beta=90.00 gamma=90.00
Element x y z (fractional)
Nd  0.000  0.000  0.171
Nd  0.000  0.000  0.829
Dy  0.000  0.000  0.500
Cu  0.500  0.500  0.000
Cu  0.500  0.500  0.347
Cu  0.500  0.500  0.653



no.,volume (Å³ per atom)
1,25.884
2,22.352